No. 1
DFT (PBE) results for ErCuOs after structural relaxation.

The structure in POSCAR format:
```
ErCuOs
1.0
4.7226 0.0000 0.0000
0.0000 5.3852 0.0000
-2.3613 0.0000 4.0076
Os Er Cu
2 2 2
direct
0.0000 0.5000 0.0000
0.0000 0.0000 0.0000
0.3379 0.7500 0.6757
0.6621 0.2500 0.3243
0.3228 0.2500 0.6457
0.6772 0.7500 0.3543
```

Values from the calculation:
size of the total moment: 0.00 μB/f.u.
calculated volume: 101.92 Å³/cell
formation energy: -89.8 meV per atom

=====

No. 2
DFT (PBE) results for Er6Cu5Os after structural relaxation.

The structure in POSCAR format:
```
Er6Cu5Os
1.0
-3.1361 -2.6076 -2.6269
7.6809 -1.9299 -2.7735
-1.9693 -1.2397 8.0621
Er Cu Os
6 5 1
direct
0.7421 0.2429 0.2429
0.7546 0.5902 0.9180
0.2579 0.7571 0.7571
0.2454 0.0820 0.4098
0.2454 0.4098 0.0820
0.7546 0.9180 0.5902
0.5000 0.8338 0.1662
0.0000 0.3347 0.6653
0.0000 0.6653 0.3347
0.5000 0.5000 0.5000
0.5000 0.1662 0.8338
0.0000 0.0000 0.0000
```

Values from the calculation:
size of the total moment: 0.00 μB/f.u.
calculated volume: 241.81 Å³/cell
formation energy: -289.2 meV per atom

=====

No. 3
DFT (PBE) results for Er2CuOs after structural relaxation.

The structure in POSCAR format:
```
Er2CuOs
1.0
4.7950 -0.0094 0.0000
-0.0060 4.7950 0.0000
2.3945 2.3928 3.4191
Os Er Cu
1 2 1
direct
0.7500 0.2500 0.5000
0.5000 0.5000 0.0000
0.0000 0.0000 0.0000
0.2500 0.7500 0.5000
```

Values from the calculation:
size of the total moment: 0.00 μB/f.u.
calculated volume: 78.61 Å³/cell
formation energy: -310.9 meV per atom